# SCAN YZrFe2, PBEsol geometry
# Formation enthalpy at 0 K   83 meV per atom
# V   17.9 Å³/atom
# Fermi-level density of states   0.96 states/eV per atom
data_YZrFe2
_chemical_formula_sum 'Y2 Zr2 Fe4'
_cell_length_a 3.646
_cell_length_b 3.833
_cell_length_c 10.245
_cell_angle_alpha 90.00
_cell_angle_beta 90.00
_cell_angle_gamma 90.00
_space_group_name_H-M_alt 'A m m 2'
_space_group_IT_number 38
_space_group_name_Hall 'A 2 -2'
loop_
_atom_site_label
_atom_site_fract_x
_atom_site_fract_y
_atom_site_fract_z
Y1 0.000 0.000 0.000
Zr1 0.500 0.000 0.290
Fe1 0.000 0.000 0.718
Fe2 0.500 0.000 0.603



# SCAN In2AgSe3I, PBEsol geometry
# ΔE_f (raw)   -0.49 eV/atom
# V   26.9 Å³/atom
# Fermi-level density of states   0.02 states/eV per atom
data_In2AgSe3I
_chemical_formula_sum 'In12 Ag6 Se18 I6'
_cell_length_a 8.1476
_cell_length_b 8.1476
_cell_length_c 19.6232
_cell_angle_alpha 90.00
_cell_angle_beta 90.00
_cell_angle_gamma 120.00
_space_group_name_H-M_alt 'R -3 m'
_space_group_IT_number 166
_space_group_name_Hall '-R 3 2"'
loop_
_atom_site_label
_atom_site_fract_x
_atom_site_fract_y
_atom_site_fract_z
In1 0.0000 0.0000 0.0000
In2 0.0000 0.5000 0.5000
Ag1 0.0000 0.0000 0.4234
Se1 0.0302 0.5151 0.7576
I1 0.0000 0.0000 0.2672



# SCAN Li7Br3O2, PBEsol geometry
# ΔE_f (raw)   -1.85 eV/atom
# V   13.6 Å³/atom
# Fermi-level density of states   0.00 states/eV per atom
data_Li7Br3O2
_chemical_formula_sum 'Li14 Br6 O4'
_cell_length_a 3.909
_cell_length_b 3.909
_cell_length_c 21.340
_cell_angle_alpha 90.00
_cell_angle_beta 90.00
_cell_angle_gamma 90.00
_space_group_name_H-M_alt 'I 4/m m m'
_space_group_IT_number 139
_space_group_name_Hall '-I 4 2'
loop_
_atom_site_label
_atom_site_fract_x
_atom_site_fract_y
_atom_site_fract_z
Li1 0.000 0.000 0.000
Li2 0.000 0.000 0.181
Li3 0.000 0.500 0.093
Br1 0.000 0.000 0.311
Br2 0.000 0.000 0.500
O1 0.000 0.000 0.092



# SCAN Be3AgBi, PBEsol geometry
# Formation enthalpy at 0 K   743 meV per atom
# V   17.0 Å³/atom
# Fermi-level density of states   0.32 states/eV per atom
data_Be3AgBi
_chemical_formula_sum 'Be3 Ag1 Bi1'
_cell_length_a 4.397
_cell_length_b 4.397
_cell_length_c 4.397
_cell_angle_alpha 90.00
_cell_angle_beta 90.00
_cell_angle_gamma 90.00
_space_group_name_H-M_alt 'P m -3 m'
_space_group_IT_number 221
_space_group_name_Hall '-P 4 2 3'
loop_
_atom_site_label
_atom_site_fract_x
_atom_site_fract_y
_atom_site_fract_z
Be1 0.000 0.000 0.500
Ag1 0.000 0.000 0.000
Bi1 0.500 0.500 0.500



# SCAN ZrSi2Hg, PBEsol geometry
# ΔE_f (raw)   -0.05 eV/atom
# V   17.5 Å³/atom
# Fermi-level density of states   0.22 states/eV per atom
data_ZrSi2Hg
_chemical_formula_sum 'Zr2 Si4 Hg2'
_cell_length_a 4.031
_cell_length_b 4.031
_cell_length_c 8.610
_cell_angle_alpha 90.00
_cell_angle_beta 90.00
_cell_angle_gamma 90.00
_space_group_name_H-M_alt 'I 4/m m m'
_space_group_IT_number 139
_space_group_name_Hall '-I 4 2'
loop_
_atom_site_label
_atom_site_fract_x
_atom_site_fract_y
_atom_site_fract_z
Zr1 0.000 0.000 0.000
Si1 0.000 0.500 0.250
Hg1 0.000 0.000 0.500



# SCAN Y3Si5, PBEsol geometry
# ΔE_f (raw)   -0.31 eV/atom
# V   19.0 Å³/atom
# Fermi-level density of states   0.39 states/eV per atom
data_Y3Si5
_chemical_formula_sum 'Y6 Si10'
_cell_length_a 8.365
_cell_length_b 8.832
_cell_length_c 4.119
_cell_angle_alpha 90.00
_cell_angle_beta 90.00
_cell_angle_gamma 90.00
_space_group_name_H-M_alt 'C m m m'
_space_group_IT_number 65
_space_group_name_Hall '-C 2 2'
loop_
_atom_site_label
_atom_site_fract_x
_atom_site_fract_y
_atom_site_fract_z
Y1 0.000 0.000 0.000
Y2 0.000 0.283 0.500
Si1 0.000 0.500 0.000
Si2 0.239 0.000 0.500
Si3 0.250 0.250 0.000



# SCAN BaCaCo, PBEsol geometry
# Formation enthalpy at 0 K   366 meV per atom
# V   29.6 Å³/atom
# Fermi-level density of states   0.81 states/eV per atom
data_BaCaCo
_chemical_formula_sum 'Ba2 Ca2 Co2'
_cell_length_a 3.581
_cell_length_b 3.581
_cell_length_c 13.833
_cell_angle_alpha 90.00
_cell_angle_beta 90.00
_cell_angle_gamma 90.00
_space_group_name_H-M_alt 'I 4 m m'
_space_group_IT_number 107
_space_group_name_Hall 'I 4 -2'
loop_
_atom_site_label
_atom_site_fract_x
_atom_site_fract_y
_atom_site_fract_z
Ba1 0.000 0.000 0.000
Ca1 0.000 0.000 0.754
Co1 0.000 0.000 0.365



# SCAN LiLa2, PBEsol geometry
# Formation enthalpy at 0 K   54 meV per atom
# V   29.1 Å³/atom
# Fermi-level density of states   1.00 states/eV per atom
data_LiLa2
_chemical_formula_sum 'Li2 La4'
_cell_length_a 3.649
_cell_length_b 3.649
_cell_length_c 13.119
_cell_angle_alpha 90.00
_cell_angle_beta 90.00
_cell_angle_gamma 90.00
_space_group_name_H-M_alt 'I 4/m m m'
_space_group_IT_number 139
_space_group_name_Hall '-I 4 2'
loop_
_atom_site_label
_atom_site_fract_x
_atom_site_fract_y
_atom_site_fract_z
Li1 0.000 0.000 0.000
La1 0.000 0.000 0.339



# SCAN Mo3W, PBEsol geometry
# Formation enthalpy at 0 K   -6 meV per atom
# V   15.4 Å³/atom
# Fermi-level density of states   0.48 states/eV per atom
data_Mo3W
_chemical_formula_sum 'Mo12 W4'
_cell_length_a 6.267
_cell_length_b 6.267
_cell_length_c 6.267
_cell_angle_alpha 90.00
_cell_angle_beta 90.00
_cell_angle_gamma 90.00
_space_group_name_H-M_alt 'F m -3 m'
_space_group_IT_number 225
_space_group_name_Hall '-F 4 2 3'
loop_
_atom_site_label
_atom_site_fract_x
_atom_site_fract_y
_atom_site_fract_z
Mo1 0.000 0.000 0.000
Mo2 0.250 0.250 0.250
W1 0.000 0.000 0.500



# SCAN BaSbHI2, PBEsol geometry
# Final energy   -30.70 eV/atom
# V   64.8 Å³/atom
# Fermi-level density of states   0.12 states/eV per atom
data_BaSbHI2
_chemical_formula_sum 'Ba1 Sb1 H1 I2'
_cell_length_a 6.608
_cell_length_b 6.608
_cell_length_c 7.421
_cell_angle_alpha 90.00
_cell_angle_beta 90.00
_cell_angle_gamma 90.00
_space_group_name_H-M_alt 'P 4/m m m'
_space_group_IT_number 123
_space_group_name_Hall '-P 4 2'
loop_
_atom_site_label
_atom_site_fract_x
_atom_site_fract_y
_atom_site_fract_z
Ba1 0.000 0.000 0.000
Sb1 0.000 0.000 0.500
H1 0.500 0.500 0.500
I1 0.000 0.500 0.000



# SCAN FeBr2O, PBEsol geometry
# ΔE_f (raw)   0.21 eV/atom
# V   19.5 Å³/atom
# Fermi-level density of states   0.36 states/eV per atom
data_FeBr2O
_chemical_formula_sum 'Fe3 Br6 O3'
_cell_length_a 3.5944
_cell_length_b 3.5944
_cell_length_c 20.9053
_cell_angle_alpha 90.00
_cell_angle_beta 90.00
_cell_angle_gamma 120.00
_space_group_name_H-M_alt 'R -3 m'
_space_group_IT_number 166
_space_group_name_Hall '-R 3 2"'
loop_
_atom_site_label
_atom_site_fract_x
_atom_site_fract_y
_atom_site_fract_z
Fe1 0.0000 0.0000 0.0000
Br1 0.0000 0.0000 0.4036
O1 0.0000 0.0000 0.5000



# SCAN CdNi3H, PBEsol geometry
# Final energy   -16.42 eV/atom
# V   10.2 Å³/atom
# Fermi-level density of states   0.74 states/eV per atom
data_CdNi3H
_chemical_formula_sum 'Cd1 Ni3 H1'
_cell_length_a 3.707
_cell_length_b 3.707
_cell_length_c 3.707
_cell_angle_alpha 90.00
_cell_angle_beta 90.00
_cell_angle_gamma 90.00
_space_group_name_H-M_alt 'P m -3 m'
_space_group_IT_number 221
_space_group_name_Hall '-P 4 2 3'
loop_
_atom_site_label
_atom_site_fract_x
_atom_site_fract_y
_atom_site_fract_z
Cd1 0.000 0.000 0.000
Ni1 0.000 0.500 0.500
H1 0.500 0.500 0.500



# SCAN LiCrOs2, PBEsol geometry
# Formation enthalpy at 0 K   59 meV per atom
# V   12.2 Å³/atom
# Fermi-level density of states   0.65 states/eV per atom
data_LiCrOs2
_chemical_formula_sum 'Li4 Cr4 Os8'
_cell_length_a 5.797
_cell_length_b 5.797
_cell_length_c 5.797
_cell_angle_alpha 90.00
_cell_angle_beta 90.00
_cell_angle_gamma 90.00
_space_group_name_H-M_alt 'F m -3 m'
_space_group_IT_number 225
_space_group_name_Hall '-F 4 2 3'
loop_
_atom_site_label
_atom_site_fract_x
_atom_site_fract_y
_atom_site_fract_z
Li1 0.000 0.000 0.000
Cr1 0.000 0.000 0.500
Os1 0.250 0.250 0.250



# SCAN LaTeCl, PBEsol geometry
# ΔE_f (raw)   -1.46 eV/atom
# V   33.4 Å³/atom
# Fermi-level density of states   0.00 states/eV per atom
data_LaTeCl
_chemical_formula_sum 'La4 Te4 Cl4'
_cell_length_a 7.374
_cell_length_b 7.374
_cell_length_c 7.374
_cell_angle_alpha 90.00
_cell_angle_beta 90.00
_cell_angle_gamma 90.00
_space_group_name_H-M_alt 'F -4 3 m'
_space_group_IT_number 216
_space_group_name_Hall 'F -4 2 3'
loop_
_atom_site_label
_atom_site_fract_x
_atom_site_fract_y
_atom_site_fract_z
La1 0.000 0.000 0.000
Te1 0.250 0.250 0.750
Cl1 0.000 0.000 0.500



# SCAN CaSeBr2, PBEsol geometry
# ΔE_f (raw)   -1.08 eV/atom
# V   29.3 Å³/atom
# Fermi-level density of states   0.57 states/eV per atom
data_CaSeBr2
_chemical_formula_sum 'Ca2 Se2 Br4'
_cell_length_a 4.046
_cell_length_b 4.521
_cell_length_c 12.799
_cell_angle_alpha 90.00
_cell_angle_beta 90.00
_cell_angle_gamma 90.00
_space_group_name_H-M_alt 'I m m m'
_space_group_IT_number 71
_space_group_name_Hall '-I 2 2'
loop_
_atom_site_label
_atom_site_fract_x
_atom_site_fract_y
_atom_site_fract_z
Ca1 0.000 0.000 0.000
Se1 0.000 0.000 0.500
Br1 0.000 0.500 0.336



# SCAN FeSeBr2, PBEsol geometry
# ΔE_f (raw)   -0.07 eV/atom
# V   24.5 Å³/atom
# Fermi-level density of states   0.38 states/eV per atom
data_FeSeBr2
_chemical_formula_sum 'Fe2 Se2 Br4'
_cell_length_a 2.941
_cell_length_b 6.421
_cell_length_c 10.375
_cell_angle_alpha 90.00
_cell_angle_beta 90.00
_cell_angle_gamma 90.00
_space_group_name_H-M_alt 'I m m 2'
_space_group_IT_number 44
_space_group_name_Hall 'I 2 -2'
loop_
_atom_site_label
_atom_site_fract_x
_atom_site_fract_y
_atom_site_fract_z
Fe1 0.000 0.000 0.000
Se1 0.000 0.500 0.672
Br1 0.000 0.000 0.494
Br2 0.000 0.500 0.319



# SCAN Tm2Se3, PBEsol geometry
# ΔE_f (raw)   -1.99 eV/atom
# V   22.6 Å³/atom
# Fermi-level density of states   0.00 states/eV per atom
data_Tm2Se3
_chemical_formula_sum 'Tm32 Se48'
_cell_length_a 8.443
_cell_length_b 8.443
_cell_length_c 25.372
_cell_angle_alpha 90.00
_cell_angle_beta 90.00
_cell_angle_gamma 90.00
_space_group_name_H-M_alt 'I -4 2 d'
_space_group_IT_number 122
_space_group_name_Hall 'I -4 2bw'
loop_
_atom_site_label
_atom_site_fract_x
_atom_site_fract_y
_atom_site_fract_z
Tm1 0.000 0.000 0.167
Tm2 0.117 0.750 0.625
Tm3 0.133 0.741 0.961
Se1 0.068 0.678 0.184
Se2 0.071 0.681 0.854
Se3 0.079 0.678 0.517



# SCAN CoMoAsSe2, PBEsol geometry
# ΔE_f (raw)   0.71 eV/atom
# V   18.4 Å³/atom
# Fermi-level density of states   0.51 states/eV per atom
data_CoMoAsSe2
_chemical_formula_sum 'Co1 Mo1 As1 Se2'
_cell_length_a 4.597
_cell_length_b 4.597
_cell_length_c 4.341
_cell_angle_alpha 90.00
_cell_angle_beta 90.00
_cell_angle_gamma 90.00
_space_group_name_H-M_alt 'P 4/m m m'
_space_group_IT_number 123
_space_group_name_Hall '-P 4 2'
loop_
_atom_site_label
_atom_site_fract_x
_atom_site_fract_y
_atom_site_fract_z
Co1 0.000 0.000 0.000
Mo1 0.500 0.500 0.500
As1 0.000 0.000 0.500
Se1 0.000 0.500 0.000



# SCAN Zr2NiPb, PBEsol geometry
# Formation enthalpy at 0 K   -289 meV per atom
# V   19.4 Å³/atom
# Fermi-level density of states   0.97 states/eV per atom
data_Zr2NiPb
_chemical_formula_sum 'Zr4 Ni2 Pb2'
_cell_length_a 4.376
_cell_length_b 4.384
_cell_length_c 8.089
_cell_angle_alpha 90.00
_cell_angle_beta 90.00
_cell_angle_gamma 90.00
_space_group_name_H-M_alt 'C m m m'
_space_group_IT_number 65
_space_group_name_Hall '-C 2 2'
loop_
_atom_site_label
_atom_site_fract_x
_atom_site_fract_y
_atom_site_fract_z
Zr1 0.000 0.000 0.205
Ni1 0.000 0.500 0.000
Pb1 0.000 0.500 0.500



# SCAN YCu3Cl, PBEsol geometry
# ΔE_f (raw)   1.26 eV/atom
# V   26.9 Å³/atom
# Fermi-level density of states   1.08 states/eV per atom
data_YCu3Cl
_chemical_formula_sum 'Y1 Cu3 Cl1'
_cell_length_a 5.124
_cell_length_b 5.124
_cell_length_c 5.124
_cell_angle_alpha 90.00
_cell_angle_beta 90.00
_cell_angle_gamma 90.00
_space_group_name_H-M_alt 'P m -3 m'
_space_group_IT_number 221
_space_group_name_Hall '-P 4 2 3'
loop_
_atom_site_label
_atom_site_fract_x
_atom_site_fract_y
_atom_site_fract_z
Y1 0.000 0.000 0.000
Cu1 0.000 0.000 0.500
Cl1 0.500 0.500 0.500